# CaAcTlPd, relaxed, DFT GGA-PBE
data_CaAcTlPd
_cell_length_a 4.3103
_cell_length_b 4.3947
_cell_length_c 6.7149
_cell_angle_alpha 90.00
_cell_angle_beta 108.72
_cell_angle_gamma 90.00
_space_group_name_H-M_alt 'P 1'
_space_group_IT_number 1
loop_
_space_group_symop_operation_xyz
'x,y,z'
loop_
_atom_site_label
_atom_site_type_symbol
_atom_site_fract_x
_atom_site_fract_y
_atom_site_fract_z
Tl1 Tl 0.5760 0.5000 0.1520
Pd1 Pd 0.4106 0.0000 0.8213
Ac1 Ac 0.8599 0.5000 0.7199
Ca1 Ca 0.1534 0.0000 0.3068
# space-group type	Amm2 (38)
# calculated volume	30.1	A^3/atom
# offset from the most stable computed form	0	meV/atom
# ΔH_f (0 K)	-536	meV/atom
# raw total energy	-15.8	eV for the cell shown
# size of the total moment	0.00	μB per atom

***

# BaAl2Sb, relaxed, DFT GGA-PBE
data_BaAl2Sb
_cell_length_a 6.5463
_cell_length_b 6.5463
_cell_length_c 6.5463
_cell_angle_alpha 43.90
_cell_angle_beta 43.90
_cell_angle_gamma 43.90
_space_group_name_H-M_alt 'P 1'
_space_group_IT_number 1
loop_
_space_group_symop_operation_xyz
'x,y,z'
loop_
_atom_site_label
_atom_site_type_symbol
_atom_site_fract_x
_atom_site_fract_y
_atom_site_fract_z
Al1 Al 0.4592 0.4592 0.4592
Al2 Al 0.0408 0.0408 0.0408
Ba1 Ba 0.2500 0.2500 0.2500
Sb1 Sb 0.7500 0.7500 0.7500
# space-group type	R-3m (166)
# calculated volume	30.6	A^3/atom
# E_form (uncorrected)	-0.1285	eV per atom
# raw total energy	-14.0	eV for the cell shown
# size of the total moment	0.00	μB per atom

***

# CdCo, relaxed, DFT GGA-PBE
data_CdCo
_cell_length_a 7.2340
_cell_length_b 7.2340
_cell_length_c 7.2340
_cell_angle_alpha 90.00
_cell_angle_beta 90.00
_cell_angle_gamma 90.00
_space_group_name_H-M_alt 'P 1'
_space_group_IT_number 1
loop_
_space_group_symop_operation_xyz
'x,y,z'
loop_
_atom_site_label
_atom_site_type_symbol
_atom_site_fract_x
_atom_site_fract_y
_atom_site_fract_z
Cd1 Cd 0.7500 0.5000 0.0000
Cd2 Cd 0.2500 0.5000 0.0000
Cd3 Cd 0.5000 0.0000 0.7500
Cd4 Cd 0.5000 0.0000 0.2500
Cd5 Cd 0.0000 0.2500 0.5000
Cd6 Cd 0.0000 0.7500 0.5000
Co1 Co 0.5000 0.7500 0.0000
Co2 Co 0.0000 0.5000 0.7500
Co3 Co 0.7500 0.0000 0.5000
Co4 Co 0.2500 0.0000 0.5000
Co5 Co 0.0000 0.5000 0.2500
Co6 Co 0.5000 0.2500 0.0000
# space-group type	Pm-3n (223)
# calculated volume	31.5	A^3/atom
# ΔH_f (0 K)	1456	meV/atom
# raw total energy	-30.7	eV for the cell shown
# size of the total moment	0.78	μB per atom

***

# Na2CdGaSe4, relaxed, DFT GGA-PBE
data_Na2CdGaSe4
_cell_length_a 6.9649
_cell_length_b 6.3241
_cell_length_c 6.3241
_cell_angle_alpha 72.35
_cell_angle_beta 56.59
_cell_angle_gamma 56.59
_space_group_name_H-M_alt 'P 1'
_space_group_IT_number 1
loop_
_space_group_symop_operation_xyz
'x,y,z'
loop_
_atom_site_label
_atom_site_type_symbol
_atom_site_fract_x
_atom_site_fract_y
_atom_site_fract_z
Se1 Se 0.5429 0.0000 0.3601
Se2 Se 0.0970 0.3601 0.0000
Se3 Se 0.4571 0.6399 0.0000
Se4 Se 0.9030 0.0000 0.6399
Cd1 Cd 0.0000 0.0000 0.0000
Ga1 Ga 0.5000 0.0000 0.0000
Na1 Na 0.0000 0.5000 0.5000
Na2 Na 0.5000 0.5000 0.5000
# space-group type	I-42m (121)
# calculated volume	24.3	A^3/atom
# E_form (uncorrected)	-0.6811	eV per atom
# raw total energy	-26.0	eV for the cell shown
# size of the total moment	0.00	μB per atom